Here is crystalline Li2TaIr at its relaxed geometry from the Alexandria database. Energies are from PBE.

Computed properties:
* energy of formation: 0.252 eV/atom
* space group: P4/mmm (123)
* relative energy among the computed polymorphs: 412.7 meV/atom

Unit cell a=2.6228 b=2.6228 c=9.0904 alpha=90.00 beta=90.00 gamma=90.00
Atoms (fractional coordinates):
Ir: 0.5000 0.5000 0.7500
Li: 0.0000 0.0000 0.5305
Li: 0.0000 0.0000 0.9695
Ta: 0.5000 0.5000 0.2500

=====

Here is crystalline Zr3Zn at its relaxed geometry from the Alexandria database. Energies are from PBE.

Computed properties:
* energy of formation: -0.102 eV/atom
* space group: Pmma (51)

Unit cell a=3.8595 b=4.5572 c=9.5448 alpha=90.00 beta=90.00 gamma=90.00
Atoms (fractional coordinates):
Zr: 0.0000 0.5000 0.7382
Zr: 0.5000 0.0000 0.7801
Zr: 0.0000 0.0000 0.5118
Zr: 0.5000 0.0000 0.2386
Zr: 0.5000 0.5000 0.0114
Zr: 0.5000 0.5000 0.4699
Zn: 0.0000 0.5000 0.2460
Zn: 0.0000 0.0000 0.0040

=====

Here is crystalline Na2LiPrCl6 at its relaxed geometry from the Alexandria database. Energies are from PBE.

Computed properties:
* space group: Fm-3m (225)
* E_form (uncorrected): -1.837 eV per atom
* relative energy among the computed polymorphs: 136.4 meV/atom

Unit cell a=7.4257 b=7.4257 c=7.4257 alpha=60.00 beta=60.00 gamma=60.00
Atoms (fractional coordinates):
Cl: 0.7405 0.7405 0.2595
Cl: 0.2595 0.2595 0.7405
Cl: 0.7405 0.2595 0.7405
Cl: 0.7405 0.2595 0.2595
Cl: 0.2595 0.7405 0.2595
Cl: 0.2595 0.7405 0.7405
Pr: 0.0000 0.0000 0.0000
Na: 0.7500 0.7500 0.7500
Na: 0.2500 0.2500 0.2500
Li: 0.5000 0.5000 0.5000

=====

Here is crystalline Fe2TcAs at its relaxed geometry from the Alexandria database. Energies are from PBE.

Computed properties:
* energy of formation: 0.246 eV/atom
* space group: Fm-3m (225)
* relative energy among the computed polymorphs: 206.7 meV/atom

Unit cell a=4.1677 b=4.1677 c=4.1677 alpha=60.00 beta=60.00 gamma=60.00
Last column: magnetic moment on the atom in μB.
Atoms (fractional coordinates):
Fe: 0.2500 0.2500 0.2500  1.53
Fe: 0.7500 0.7500 0.7500  1.53
Tc: 0.5000 0.5000 0.5000  1.07
As: 0.0000 0.0000 0.0000  0.00

=====

Here is crystalline LaInMo4 at its relaxed geometry from the Alexandria database. Energies are from PBE.

Computed properties:
* energy of formation: 0.340 eV/atom
* space group: F-43m (216)

Unit cell a=5.5136 b=5.5136 c=5.5136 alpha=60.00 beta=60.00 gamma=60.00
Atoms (fractional coordinates):
Mo: 0.3749 0.8753 0.3749
Mo: 0.8753 0.3749 0.3749
Mo: 0.3749 0.3749 0.3749
Mo: 0.3749 0.3749 0.8753
In: 0.7500 0.7500 0.7500
La: 0.0000 0.0000 0.0000

=====

DFT total energy in eV per atom, matching the order above: -5.8830 -6.8312 -3.8781 -7.7393 -8.1583